Entry 1:
DFT (PBE-GGA) results for a geometry-optimized KNiBr3 structure.

The space group is Pm-3m (No. 221) and the conventional cell measures 6.004, 6.004 and 6.004 Å, with angles of 90.00, 90.00 and 90.00 degrees. The distinct sites, in fractional coordinates, are K at (0.000, 0.000, 0.000), Ni at (0.500, 0.500, 0.500) and Br at (0.000, 0.000, 0.500).

The uncorrected formation energy comes out at 0.38 eV/atom. The final energy comes out at -2.00 eV per atom. The energy above the most stable polymorph in this dataset is 6.28 eV per formula unit.

=====

Entry 2:
DFT (PBE-GGA) results for a geometry-optimized K3NiBr structure.

The space group is Pm-3m (No. 221) and the conventional cell measures 5.961, 5.961 and 5.961 Å, with angles of 90.00, 90.00 and 90.00 degrees. The distinct sites, in fractional coordinates, are K at (0.000, 0.000, 0.500), Ni at (0.000, 0.000, 0.000) and Br at (0.500, 0.500, 0.500).

The uncorrected formation energy comes out at -0.13 eV/atom. The final energy comes out at -2.28 eV per atom. The energy above the most stable polymorph in this dataset is 0.00 eV per formula unit.

=====

Entry 3:
DFT (PBE-GGA) results for a geometry-optimized KNi2Br structure.

The space group is Pm (No. 6) and the conventional cell measures 3.393, 3.338 and 7.616 Å, with angles of 90.00, 102.78 and 90.00 degrees. The distinct sites, in fractional coordinates, are K at (0.000, 0.000, 0.000), Ni at (0.334, 0.500, 0.656), Ni at (0.787, 0.000, 0.559) and Br at (0.645, 0.500, 0.291).

The uncorrected formation energy comes out at 0.14 eV/atom. The final energy comes out at -3.45 eV per atom. The energy above the most stable polymorph in this dataset is 0.00 eV per formula unit.